[1]
Density functional theory data (PBEsol) for an optimized crystal structure of RbLa2Zr.

Output
Crystal system: cubic
Energy of formation (eV per atom): 0.7374

Geometry as POSCAR:
```
RbLa2Zr
1.0
5.745 0.000 0.000
2.872 4.975 0.000
2.872 1.658 4.691
La Rb Zr
2 1 1
Direct
0.750 0.750 0.750
0.250 0.250 0.250
0.000 0.000 0.000
0.500 0.500 0.500
```

[2]
Density functional theory data (PBEsol) for an optimized crystal structure of La4Re.

Output
Excess energy over the best structure of this formula in the dataset (eV per formula unit): 2.83
Crystal system: tetragonal
Energy of formation (eV per atom): 0.8075

Geometry as POSCAR:
```
La4Re
1.0
3.887 0.000 0.000
0.000 3.887 0.000
-1.944 -1.944 10.145
Re La
1 4
Direct
0.000 0.000 0.000
0.750 0.250 0.500
0.250 0.750 0.500
0.422 0.422 0.844
0.578 0.578 0.156
```

[3]
Density functional theory data (PBEsol) for an optimized crystal structure of LaRe3.

Output
Excess energy over the best structure of this formula in the dataset (eV per formula unit): 0.00
Crystal system: tetragonal
Energy of formation (eV per atom): 0.4162

Geometry as POSCAR:
```
LaRe3
1.0
-0.116 3.046 0.239
-2.995 -0.161 0.593
1.526 -0.535 7.559
Re La
3 1
Direct
0.500 0.500 0.695
0.000 0.000 0.500
0.500 0.500 0.305
0.000 0.000 0.000
```